# Gd4B2PbI

Gd4B2PbI after structural relaxation (PBE, the Open Quantum Materials Database).

Results
As for the total energy: -40.18 eV per cell.

```
Gd4B2PbI
1.0
3.870 0.000 0.000
-1.935 3.352 0.000
0.000 0.000 15.884
Gd B Pb I
4 2 1 1
direct
0.000 0.000 0.155
0.000 0.000 0.845
0.333 0.667 0.334
0.333 0.667 0.666
0.667 0.333 0.240
0.667 0.333 0.760
0.000 0.000 0.500
0.333 0.667 0.000
```

# Pr2Gd2BI5

Pr2Gd2BI5 after structural relaxation (PBE, the Open Quantum Materials Database).

Results
As for the total energy: -44.27 eV per cell.

```
Pr2Gd2BI5
1.0
9.737 -2.082 0.000
9.737 2.082 0.000
-1.942 0.000 8.784
Pr Gd B I
2 2 1 5
direct
0.001 0.001 0.298
0.999 0.999 0.702
0.365 0.365 0.432
0.635 0.635 0.568
0.500 0.500 0.500
0.167 0.167 0.831
0.173 0.173 0.336
0.500 0.500 0.000
0.827 0.827 0.664
0.833 0.833 0.169
```

# Gd4B2SI

Gd4B2SI after structural relaxation (PBE, the Open Quantum Materials Database).

Results
As for the total energy: -43.89 eV per cell.

```
Gd4B2SI
1.0
3.884 0.000 0.000
-1.942 3.364 0.000
0.000 0.000 14.358
Gd B S I
4 2 1 1
direct
0.000 0.000 0.128
0.000 0.000 0.872
0.667 0.333 0.329
0.667 0.333 0.671
0.333 0.667 0.236
0.333 0.667 0.764
0.667 0.333 0.000
0.000 0.000 0.500
```

# Gd4B2SeI

Gd4B2SeI after structural relaxation (PBE, the Open Quantum Materials Database).

Results
As for the total energy: -42.96 eV per cell.

```
Gd4B2SeI
1.0
3.922 0.000 0.000
-1.961 3.396 0.000
0.000 0.000 14.503
Gd B Se I
4 2 1 1
direct
0.000 0.000 0.135
0.000 0.000 0.865
0.667 0.333 0.332
0.667 0.333 0.668
0.333 0.667 0.241
0.333 0.667 0.759
0.667 0.333 0.000
0.000 0.000 0.500
```

# Gd2Tm2BI5

Gd2Tm2BI5 after structural relaxation (PBE, the Open Quantum Materials Database).

Results
As for the total energy: -43.30 eV per cell.

```
Gd2Tm2BI5
1.0
10.776 -2.022 0.000
10.776 2.022 0.000
-1.703 0.000 8.490
Gd Tm B I
2 2 1 5
direct
0.000 0.000 0.199
0.000 0.000 0.801
0.385 0.385 0.943
0.615 0.615 0.057
0.500 0.500 0.000
0.151 0.151 0.323
0.152 0.152 0.827
0.500 0.500 0.500
0.848 0.848 0.173
0.849 0.849 0.677
```

# Gd2Y2BI5

Gd2Y2BI5 after structural relaxation (PBE, the Open Quantum Materials Database).

Results
As for the total energy: -47.66 eV per cell.

```
Gd2Y2BI5
1.0
9.565 -2.039 0.000
9.565 2.039 0.000
-1.897 0.000 8.521
Gd Y B I
2 2 1 5
direct
0.001 0.001 0.303
0.999 0.999 0.697
0.365 0.365 0.432
0.635 0.635 0.568
0.500 0.500 0.500
0.166 0.166 0.839
0.172 0.172 0.328
0.500 0.500 0.000
0.828 0.828 0.672
0.834 0.834 0.161
```

# GdBIr

GdBIr after structural relaxation (PBE, the Open Quantum Materials Database).

Results
As for the energy relative to the lowest polymorph listed for this composition: 0 meV per atom.

```
GdBIr
1.0
5.877 0.000 0.000
0.000 5.877 0.000
0.000 0.000 5.877
Gd B Ir
4 4 4
direct
0.000 0.000 0.000
0.000 0.500 0.500
0.500 0.000 0.500
0.500 0.500 0.000
0.250 0.250 0.250
0.250 0.750 0.750
0.750 0.250 0.750
0.750 0.750 0.250
0.000 0.000 0.500
0.000 0.500 0.000
0.500 0.000 0.000
0.500 0.500 0.500
```

# GdBIr

GdBIr after structural relaxation (PBE, the Open Quantum Materials Database).

Results
As for the energy relative to the lowest polymorph listed for this composition: 414 meV per atom.

```
GdBIr
1.0
6.121 0.000 0.000
0.000 6.121 0.000
0.000 0.000 6.121
Gd B Ir
4 4 4
direct
0.000 0.000 0.000
0.000 0.500 0.500
0.500 0.000 0.500
0.500 0.500 0.000
0.000 0.000 0.500
0.000 0.500 0.000
0.500 0.000 0.000
0.500 0.500 0.500
0.250 0.250 0.750
0.250 0.750 0.250
0.750 0.250 0.250
0.750 0.750 0.750
```

# Gd2B4Ir5

Gd2B4Ir5 after structural relaxation (PBE, the Open Quantum Materials Database).

Results
As for the total energy: -88.36 eV per cell.

```
Gd2B4Ir5
1.0
0.000 4.915 5.705
2.756 0.000 5.705
2.756 4.915 0.000
Gd B Ir
2 4 5
direct
0.141 0.141 0.859
0.859 0.859 0.141
0.211 0.523 0.477
0.477 0.789 0.211
0.523 0.211 0.789
0.789 0.477 0.523
0.000 0.000 0.500
0.250 0.250 0.250
0.500 0.500 0.000
0.500 0.500 0.500
0.750 0.750 0.750
```

# Gd2NiB2IrN2

Gd2NiB2IrN2 after structural relaxation (PBE, the Open Quantum Materials Database).

Results
As for the total energy: -62.96 eV per cell.

```
Gd2NiB2IrN2
1.0
3.610 0.000 0.000
0.000 3.610 0.000
0.000 0.000 7.592
Gd Ni B Ir N
2 1 2 1 2
direct
0.000 0.500 0.164
0.500 0.000 0.836
0.000 0.000 0.500
0.000 0.500 0.658
0.500 0.000 0.342
0.500 0.500 0.500
0.000 0.500 0.854
0.500 0.000 0.146
```

# SmGdB2Ir2N2

SmGdB2Ir2N2 after structural relaxation (PBE, the Open Quantum Materials Database).

Results
As for the total energy: -66.16 eV per cell.

```
SmGdB2Ir2N2
1.0
3.768 0.000 0.000
0.000 3.768 0.000
0.000 0.000 7.520
Sm Gd B Ir N
1 1 2 2 2
direct
0.000 0.000 0.000
0.500 0.500 0.672
0.000 0.000 0.489
0.500 0.500 0.181
0.000 0.500 0.336
0.500 0.000 0.336
0.000 0.000 0.688
0.500 0.500 0.982
```

# NdGdB2Ir2O2

NdGdB2Ir2O2 after structural relaxation (PBE, the Open Quantum Materials Database).

Results
As for the total energy: -63.42 eV per cell.

```
NdGdB2Ir2O2
1.0
3.842 0.000 0.000
0.000 3.842 0.000
0.000 0.000 7.405
Nd Gd B Ir O
1 1 2 2 2
direct
0.000 0.000 0.000
0.500 0.500 0.632
0.000 0.000 0.468
0.500 0.500 0.169
0.000 0.500 0.321
0.500 0.000 0.321
0.000 0.000 0.672
0.500 0.500 0.961
```

> Number 3 is which compound?

Gd4B2SI